# Zn2CdSn, optimized geometry, DFT PBE
data_Zn2CdSn
_chemical_formula_sum 'Zn2 Cd1 Sn1'
_cell_length_a 3.208
_cell_length_b 3.208
_cell_length_c 7.979
_cell_angle_alpha 90.00
_cell_angle_beta 90.00
_cell_angle_gamma 90.00
_symmetry_space_group_name_H-M 'P 1'
_symmetry_Int_Tables_number 1
loop_
_symmetry_equiv_pos_as_xyz
'x,y,z'
loop_
_atom_site_label
_atom_site_type_symbol
_atom_site_fract_x
_atom_site_fract_y
_atom_site_fract_z
Zn1 Zn 0.000 0.000 0.760
Zn2 Zn 0.000 0.000 0.240
Sn1 Sn 0.500 0.500 0.500
Cd1 Cd 0.500 0.500 0.000
# crystal system: tetragonal
# energy of formation: 0.1399 eV/atom
# E above lowest polymorph: 17 meV/atom



# ZnCd2Sn2, optimized geometry, DFT PBE
data_ZnCd2Sn2
_chemical_formula_sum 'Zn1 Cd2 Sn2'
_cell_length_a 4.313
_cell_length_b 4.313
_cell_length_c 7.930
_cell_angle_alpha 74.22
_cell_angle_beta 74.22
_cell_angle_gamma 90.00
_symmetry_space_group_name_H-M 'P 1'
_symmetry_Int_Tables_number 1
loop_
_symmetry_equiv_pos_as_xyz
'x,y,z'
loop_
_atom_site_label
_atom_site_type_symbol
_atom_site_fract_x
_atom_site_fract_y
_atom_site_fract_z
Zn1 Zn 0.000 0.000 0.000
Sn1 Sn 0.750 0.250 0.500
Sn2 Sn 0.250 0.750 0.500
Cd1 Cd 0.406 0.406 0.188
Cd2 Cd 0.594 0.594 0.812
# crystal system: tetragonal
# energy of formation: 0.2211 eV/atom
# E above lowest polymorph: 75 meV/atom



# ZnCdSn, optimized geometry, DFT PBE
data_ZnCdSn
_chemical_formula_sum 'Zn1 Cd1 Sn1'
_cell_length_a 3.440
_cell_length_b 4.671
_cell_length_c 4.746
_cell_angle_alpha 76.05
_cell_angle_beta 68.14
_cell_angle_gamma 90.47
_symmetry_space_group_name_H-M 'P 1'
_symmetry_Int_Tables_number 1
loop_
_symmetry_equiv_pos_as_xyz
'x,y,z'
loop_
_atom_site_label
_atom_site_type_symbol
_atom_site_fract_x
_atom_site_fract_y
_atom_site_fract_z
Zn1 Zn 0.748 0.797 0.213
Sn1 Sn 0.083 0.121 0.545
Cd1 Cd 0.415 0.502 0.874
# crystal system: triclinic
# energy of formation: 0.0992 eV/atom



# ZnCd2Sn, optimized geometry, DFT PBE
data_ZnCd2Sn
_chemical_formula_sum 'Zn1 Cd2 Sn1'
_cell_length_a 3.126
_cell_length_b 3.126
_cell_length_c 9.169
_cell_angle_alpha 90.00
_cell_angle_beta 90.00
_cell_angle_gamma 90.00
_symmetry_space_group_name_H-M 'P 1'
_symmetry_Int_Tables_number 1
loop_
_symmetry_equiv_pos_as_xyz
'x,y,z'
loop_
_atom_site_label
_atom_site_type_symbol
_atom_site_fract_x
_atom_site_fract_y
_atom_site_fract_z
Zn1 Zn 0.500 0.500 0.000
Sn1 Sn 0.500 0.500 0.500
Cd1 Cd 0.000 0.000 0.787
Cd2 Cd 0.000 0.000 0.213
# crystal system: tetragonal
# energy of formation: 0.0859 eV/atom
# E above lowest polymorph: 0 meV/atom



# ZnCdSn2, optimized geometry, DFT PBE
data_ZnCdSn2
_chemical_formula_sum 'Zn1 Cd1 Sn2'
_cell_length_a 4.339
_cell_length_b 4.688
_cell_length_c 4.688
_cell_angle_alpha 90.00
_cell_angle_beta 90.00
_cell_angle_gamma 90.00
_symmetry_space_group_name_H-M 'P 1'
_symmetry_Int_Tables_number 1
loop_
_symmetry_equiv_pos_as_xyz
'x,y,z'
loop_
_atom_site_label
_atom_site_type_symbol
_atom_site_fract_x
_atom_site_fract_y
_atom_site_fract_z
Zn1 Zn 0.500 0.500 0.500
Sn1 Sn 0.000 0.000 0.500
Sn2 Sn 0.000 0.500 0.000
Cd1 Cd 0.500 0.000 0.000
# crystal system: tetragonal
# energy of formation: 0.1131 eV/atom



# Zr2CdSn, optimized geometry, DFT PBE
data_Zr2CdSn
_chemical_formula_sum 'Zr4 Cd2 Sn2'
_cell_length_a 7.941
_cell_length_b 7.941
_cell_length_c 6.383
_cell_angle_alpha 51.54
_cell_angle_beta 51.54
_cell_angle_gamma 90.00
_symmetry_space_group_name_H-M 'P 1'
_symmetry_Int_Tables_number 1
loop_
_symmetry_equiv_pos_as_xyz
'x,y,z'
loop_
_atom_site_label
_atom_site_type_symbol
_atom_site_fract_x
_atom_site_fract_y
_atom_site_fract_z
Sn1 Sn 0.000 0.000 0.000
Sn2 Sn 0.750 0.250 0.500
Zr1 Zr 0.627 0.125 0.250
Zr2 Zr 0.123 0.625 0.250
Zr3 Zr 0.375 0.373 0.750
Zr4 Zr 0.875 0.877 0.750
Cd1 Cd 0.500 0.500 0.000
Cd2 Cd 0.250 0.750 0.500
# crystal system: tetragonal
# energy of formation: 0.0211 eV/atom



# ZrCdSn, optimized geometry, DFT PBE
data_ZrCdSn
_chemical_formula_sum 'Zr2 Cd2 Sn2'
_cell_length_a 4.522
_cell_length_b 3.208
_cell_length_c 13.688
_cell_angle_alpha 96.75
_cell_angle_beta 90.00
_cell_angle_gamma 45.06
_symmetry_space_group_name_H-M 'P 1'
_symmetry_Int_Tables_number 1
loop_
_symmetry_equiv_pos_as_xyz
'x,y,z'
loop_
_atom_site_label
_atom_site_type_symbol
_atom_site_fract_x
_atom_site_fract_y
_atom_site_fract_z
Cd1 Cd 0.788 0.424 0.424
Cd2 Cd 0.212 0.576 0.576
Zr1 Zr 0.369 0.264 0.263
Zr2 Zr 0.631 0.736 0.737
Sn1 Sn 0.947 0.107 0.107
Sn2 Sn 0.053 0.893 0.893
# crystal system: orthorhombic
# energy of formation: -0.2166 eV/atom



# ZrCd2Sn, optimized geometry, DFT PBE
data_ZrCd2Sn
_chemical_formula_sum 'Zr1 Cd2 Sn1'
_cell_length_a 3.217
_cell_length_b 3.217
_cell_length_c 11.400
_cell_angle_alpha 81.89
_cell_angle_beta 81.89
_cell_angle_gamma 60.00
_symmetry_space_group_name_H-M 'P 1'
_symmetry_Int_Tables_number 1
loop_
_symmetry_equiv_pos_as_xyz
'x,y,z'
loop_
_atom_site_label
_atom_site_type_symbol
_atom_site_fract_x
_atom_site_fract_y
_atom_site_fract_z
Sn1 Sn 0.500 0.500 0.500
Zr1 Zr 0.000 0.000 0.000
Cd1 Cd 0.088 0.088 0.737
Cd2 Cd 0.912 0.912 0.263
# crystal system: trigonal
# energy of formation: 0.3014 eV/atom



# ZrCd3Sn, optimized geometry, DFT PBE
data_ZrCd3Sn
_chemical_formula_sum 'Zr1 Cd3 Sn1'
_cell_length_a 5.546
_cell_length_b 5.546
_cell_length_c 5.546
_cell_angle_alpha 90.00
_cell_angle_beta 90.00
_cell_angle_gamma 90.00
_symmetry_space_group_name_H-M 'P 1'
_symmetry_Int_Tables_number 1
loop_
_symmetry_equiv_pos_as_xyz
'x,y,z'
loop_
_atom_site_label
_atom_site_type_symbol
_atom_site_fract_x
_atom_site_fract_y
_atom_site_fract_z
Sn1 Sn 0.500 0.500 0.500
Zr1 Zr 0.000 0.000 0.000
Cd1 Cd 0.000 0.500 0.000
Cd2 Cd 0.000 0.000 0.500
Cd3 Cd 0.500 0.000 0.000
# crystal system: cubic
# energy of formation: 0.8515 eV/atom
# E above lowest polymorph: 0 meV/atom



# Zr2CdSn2, optimized geometry, DFT PBE
data_Zr2CdSn2
_chemical_formula_sum 'Zr4 Cd2 Sn4'
_cell_length_a 7.687
_cell_length_b 7.687
_cell_length_c 3.945
_cell_angle_alpha 90.00
_cell_angle_beta 90.00
_cell_angle_gamma 90.00
_symmetry_space_group_name_H-M 'P 1'
_symmetry_Int_Tables_number 1
loop_
_symmetry_equiv_pos_as_xyz
'x,y,z'
loop_
_atom_site_label
_atom_site_type_symbol
_atom_site_fract_x
_atom_site_fract_y
_atom_site_fract_z
Sn1 Sn 0.358 0.858 0.000
Sn2 Sn 0.858 0.642 0.000
Sn3 Sn 0.642 0.142 0.000
Sn4 Sn 0.142 0.358 0.000
Zr1 Zr 0.157 0.657 0.500
Zr2 Zr 0.657 0.843 0.500
Zr3 Zr 0.843 0.343 0.500
Zr4 Zr 0.343 0.157 0.500
Cd1 Cd 0.000 0.000 0.000
Cd2 Cd 0.500 0.500 0.000
# crystal system: tetragonal
# energy of formation: -0.2353 eV/atom
# E above lowest polymorph: 0 meV/atom



# Zr2CdSn, optimized geometry, DFT PBE
data_Zr2CdSn
_chemical_formula_sum 'Zr2 Cd1 Sn1'
_cell_length_a 3.170
_cell_length_b 3.170
_cell_length_c 11.253
_cell_angle_alpha 81.90
_cell_angle_beta 81.90
_cell_angle_gamma 60.00
_symmetry_space_group_name_H-M 'P 1'
_symmetry_Int_Tables_number 1
loop_
_symmetry_equiv_pos_as_xyz
'x,y,z'
loop_
_atom_site_label
_atom_site_type_symbol
_atom_site_fract_x
_atom_site_fract_y
_atom_site_fract_z
Sn1 Sn 0.000 0.000 0.000
Zr1 Zr 0.088 0.088 0.736
Zr2 Zr 0.912 0.912 0.264
Cd1 Cd 0.500 0.500 0.500
# crystal system: trigonal
# energy of formation: 0.1046 eV/atom



# Zr5Cd2Sn, optimized geometry, DFT PBE
data_Zr5Cd2Sn
_chemical_formula_sum 'Zr10 Cd4 Sn2'
_cell_length_a 7.612
_cell_length_b 7.612
_cell_length_c 8.289
_cell_angle_alpha 117.33
_cell_angle_beta 117.33
_cell_angle_gamma 90.00
_symmetry_space_group_name_H-M 'P 1'
_symmetry_Int_Tables_number 1
loop_
_symmetry_equiv_pos_as_xyz
'x,y,z'
loop_
_atom_site_label
_atom_site_type_symbol
_atom_site_fract_x
_atom_site_fract_y
_atom_site_fract_z
Zr1 Zr 0.494 0.684 0.678
Zr2 Zr 0.816 0.006 0.322
Zr3 Zr 0.000 0.000 0.000
Zr4 Zr 0.500 0.500 0.000
Zr5 Zr 0.184 0.994 0.678
Zr6 Zr 0.684 0.184 0.678
Zr7 Zr 0.994 0.494 0.678
Zr8 Zr 0.316 0.816 0.322
Zr9 Zr 0.006 0.506 0.322
Zr10 Zr 0.506 0.316 0.322
Cd1 Cd 0.138 0.362 0.000
Cd2 Cd 0.638 0.138 0.000
Cd3 Cd 0.362 0.862 0.000
Cd4 Cd 0.862 0.638 0.000
Sn1 Sn 0.750 0.750 0.500
Sn2 Sn 0.250 0.250 0.500
# crystal system: tetragonal
# energy of formation: -0.1210 eV/atom



no.,ρ (g/cm3),Fermi-level density of states (states/eV per atom)
1,7.32,0.478
2,6.44,0.447
3,7.21,0.282
4,7.58,0.389
5,7.23,0.316
6,7.18,0.962
7,7.72,0.566
8,7.16,0.906
9,5.33,1.044
10,7.58,0.395
11,7.11,0.648
12,7.27,1.494